Compound: CsMgVI6
Source: Alexandria via LeMat-Bulk
Functional: PBE-GGA
Structure: relaxed

Cell and atoms, written as POSCAR:
```
CsMgVI6
1.0
-3.9889 -2.3383 5.8188
-4.2371 -6.0766 -0.6000
6.7538 -4.9695 2.6326
I Cs V Mg
6 1 1 1
direct
0.3772 0.9858 0.6847
0.9857 0.3773 0.3153
0.3772 0.6370 0.3153
0.6370 0.3773 0.6847
0.9858 0.6370 0.6847
0.6370 0.9858 0.3153
0.0000 0.0000 0.0000
0.6666 0.6667 0.5000
0.3333 0.3333 0.5000
```

Properties
Uncorrected energy: -3.193 eV per atom
Mass density: 3.8 Mg/m³
Symmetry: P312, No. 149